A relaxed structure of PrNdYIn, computed with PBE.

Excess energy over the best structure of this formula in the dataset: 0 meV/atom

The structure in CIF format:
```
data_PrNdYIn
_space_group_name_H-M_alt 'P 1'
_space_group_IT_number 1
_space_group_name_Hall 'P 1'
_cell_length_a 5.596
_cell_length_b 5.596
_cell_length_c 5.596
_cell_angle_alpha 60.00
_cell_angle_beta 60.00
_cell_angle_gamma 60.00
loop_
_atom_site_label
_atom_site_fract_x
_atom_site_fract_y
_atom_site_fract_z
Y1 0.750 0.750 0.750
Nd1 0.000 0.000 0.000
In1 0.250 0.250 0.250
Pr1 0.500 0.500 0.500
```

---

A relaxed structure of KTcBiPt2, computed with PBE.

DFT total energy: -4.460 eV per atom

The structure in CIF format:
```
data_KTcBiPt2
_space_group_name_H-M_alt 'P 1'
_space_group_IT_number 1
_space_group_name_Hall 'P 1'
_cell_length_a 4.899
_cell_length_b 5.202
_cell_length_c 4.899
_cell_angle_alpha 90.00
_cell_angle_beta 90.00
_cell_angle_gamma 90.00
loop_
_atom_site_label
_atom_site_fract_x
_atom_site_fract_y
_atom_site_fract_z
Tc1 0.000 0.000 0.000
K1 0.000 0.500 0.000
Pt1 0.000 0.000 0.500
Pt2 0.500 0.000 0.000
Bi1 0.500 0.500 0.500
```

---

A relaxed structure of Ac6Mg5Ag, computed with PBE.

DFT total energy: -3.060 eV per atom

The structure in CIF format:
```
data_Ac6Mg5Ag
_space_group_name_H-M_alt 'P 1'
_space_group_IT_number 1
_space_group_name_Hall 'P 1'
_cell_length_a 5.778
_cell_length_b 8.197
_cell_length_c 9.142
_cell_angle_alpha 90.00
_cell_angle_beta 71.52
_cell_angle_gamma 90.00
loop_
_atom_site_label
_atom_site_fract_x
_atom_site_fract_y
_atom_site_fract_z
Ac1 0.500 0.245 0.000
Ac2 0.163 0.750 0.673
Ac3 0.500 0.755 0.000
Ac4 0.837 0.250 0.327
Ac5 0.837 0.750 0.327
Ac6 0.163 0.250 0.673
Mg1 0.672 0.000 0.654
Mg2 0.332 0.500 0.337
Mg3 0.328 0.000 0.346
Mg4 0.668 0.500 0.663
Mg5 0.000 0.500 0.000
Ag1 0.000 0.000 0.000
```

---

A relaxed structure of FeCu2Ag, computed with PBE.

Excess energy over the best structure of this formula in the dataset: 150 meV/atom

The structure in CIF format:
```
data_FeCu2Ag
_space_group_name_H-M_alt 'P 1'
_space_group_IT_number 1
_space_group_name_Hall 'P 1'
_cell_length_a 2.704
_cell_length_b 4.552
_cell_length_c 4.484
_cell_angle_alpha 90.00
_cell_angle_beta 90.00
_cell_angle_gamma 90.00
loop_
_atom_site_label
_atom_site_fract_x
_atom_site_fract_y
_atom_site_fract_z
Cu1 0.500 0.500 0.000
Cu2 0.000 0.000 0.000
Fe1 0.500 0.000 0.500
Ag1 0.000 0.500 0.500
```

---

| no. | Fermi-level density of states (states/eV per atom) |
| --- | --- |
| 1 | 1.6659 |
| 2 | 0.9725 |
| 3 | 0.9510 |
| 4 | 0.6349 |